12
Lattice="3.551 -6.149 0.000 3.551 6.149 0.000 -2.373 0.000 7.474" Properties=species:S:1:pos:R:3 comment="PBE-GGA CeTl3Sb2S6, optimized geometry" final_energy_ev_per_atom=-4.516 dos_ef_per_ev_atom=0.675 crystal_system=monoclinic e_form_raw_mev_per_atom=-679 pbc="T T T"
Ce 0.000 0.000 0.000
Tl 2.365 4.105 3.737
Tl 2.365 0.000 3.737
Tl 2.365 -4.105 3.737
Sb 3.551 2.046 0.000
Sb 3.551 -2.046 0.000
S 1.202 2.081 1.507
S 0.036 0.000 5.981
S 1.202 -2.081 1.507
S 3.527 2.081 5.967
S 4.694 0.000 1.493
S 3.527 -2.081 5.967

=====

14
Lattice="6.945 0.000 0.000 0.000 6.755 0.000 -2.217 0.000 7.464" Properties=species:S:1:pos:R:3 comment="PBE-GGA Ce2ScS4, optimized geometry" final_energy_ev_per_atom=-6.747 dos_ef_per_ev_atom=1.942 crystal_system=monoclinic e_form_raw_mev_per_atom=-1788 pbc="T T T"
Ce 1.230 1.689 0.376
Ce 0.286 1.689 4.117
Ce 4.442 5.066 3.346
Ce 3.498 5.066 7.088
Sc 0.086 5.066 6.097
Sc 4.641 1.689 1.367
S -1.645 0.019 5.576
S -1.645 3.359 5.576
S 1.967 5.066 4.638
S 3.126 5.066 0.890
S 1.601 1.689 6.574
S 2.761 1.689 2.826
S 6.372 3.396 1.888
S 6.372 6.736 1.888

=====

10
Lattice="-4.417 4.417 2.809 4.417 -4.417 2.809 4.417 4.417 -2.809" Properties=species:S:1:pos:R:3 comment="PBE-GGA Ce4ScS5, optimized geometry" final_energy_ev_per_atom=-7.052 dos_ef_per_ev_atom=1.818 crystal_system=tetragonal e_form_raw_mev_per_atom=-1982 pbc="T T T"
Ce 6.168 0.857 0.000
Ce 0.857 2.666 0.000
Ce 3.560 1.751 2.809
Ce -1.751 3.560 2.809
Sc 0.000 0.000 2.809
S 0.000 0.000 0.000
S 3.556 1.888 0.000
S 2.529 -0.861 2.809
S 1.888 5.278 0.000
S 0.861 2.529 2.809

=====

4
Lattice="1.738 1.003 8.835 -1.738 1.003 8.835 0.000 -2.007 8.835" Properties=species:S:1:pos:R:3 comment="PBE-GGA CeSc2S, optimized geometry" final_energy_ev_per_atom=-6.530 relative_energy_mev_per_atom=0 dos_ef_per_ev_atom=1.790 crystal_system=trigonal e_form_raw_mev_per_atom=-848 pbc="T T T"
Ce 0.000 0.000 0.000
Sc 0.000 0.000 14.814
Sc 0.000 0.000 20.492
S 0.000 0.000 4.400